(1)
First-principles (GGA-PBE) data for crystalline Ta6Nb3Os at its relaxed geometry, as listed in the Alexandria database.

POSCAR file:
```
Ta6Nb3Os
1.0
-2.942 5.734 2.224
-1.433 0.749 6.623
3.563 4.414 3.781
Ta Nb Os
6 3 1
Cartesian
0.871 5.305 8.372
-0.922 3.083 6.470
-2.403 5.969 7.589
1.592 4.928 5.039
-1.682 5.592 4.256
0.112 7.813 6.159
-0.608 8.173 9.471
-0.203 2.724 3.157
-0.405 5.448 6.314
0.000 0.000 0.000
```

Properties
**ΔE_f**: 14.730 eV/f.u.
**DFT total energy**: -9.78 eV per atom
**Crystal system**: cubic

---

(2)
First-principles (GGA-PBE) data for crystalline B2C at its relaxed geometry, as listed in the Alexandria database.

POSCAR file:
```
B2C
1.0
2.289 0.000 0.000
0.000 2.575 0.000
0.000 0.000 13.971
B C
8 4
Cartesian
0.572 0.000 10.612
1.717 0.000 12.017
0.572 1.287 0.686
1.717 1.287 8.467
0.572 0.000 1.954
1.717 0.000 3.358
1.717 1.287 13.285
0.572 1.287 5.503
0.572 1.287 9.679
0.572 0.000 6.549
1.717 1.287 4.292
1.717 0.000 7.422
```

Properties
**ΔE_f**: 1.211 eV/f.u.
**DFT total energy**: -7.12 eV per atom
**Crystal system**: orthorhombic